FeRhN2F | GGA+U | relaxed

Summary:
**Crystal system**: tetragonal
**Excess energy over the best structure of this formula in the dataset**: 0.0 meV per atom
**E_tot**: -5.626 eV/atom

abc: 3.790 3.790 4.639
angles: 90.00 90.00 90.00
Sites, in units of the cell vectors:
Fe 0.000 0.000 0.000
Rh 0.500 0.500 0.500
N 0.000 0.500 0.500
N 0.500 0.000 0.500
F 0.500 0.500 0.000